The following is a DFT calculation (PBE) of crystalline PuMnGa at its relaxed geometry.

Cell lengths 4.5111, 4.5755, 10.3214 Å; angles 90.00, 90.00, 90.00 degrees
Atoms (fractional coordinates):
Pu 0.2500 0.6334 0.1306
Pu 0.7500 0.8666 0.6306
Pu 0.7500 0.3666 0.8694
Pu 0.2500 0.1334 0.3694
Mn 0.7500 0.8879 0.9438
Mn 0.2500 0.6121 0.4438
Mn 0.2500 0.1121 0.0562
Mn 0.7500 0.3879 0.5562
Ga 0.2500 0.8552 0.8310
Ga 0.2500 0.3552 0.6690
Ga 0.7500 0.1448 0.1690
Ga 0.7500 0.6448 0.3310

**M_tot**: 12.48 μB/cell
**DFT total energy**: -9.0972 eV per atom


The following is a DFT calculation (PBE) of crystalline PuMnGa5 at its relaxed geometry.

Cell lengths 4.2395, 4.2395, 7.4039 Å; angles 90.00, 90.00, 90.00 degrees
Atoms (fractional coordinates):
Mn 0.5000 0.5000 0.0000
Ga 0.5000 0.5000 0.5000
Ga 0.0000 0.5000 0.1918
Ga 0.0000 0.5000 0.8082
Ga 0.5000 0.0000 0.8082
Ga 0.5000 0.0000 0.1918
Pu 0.0000 0.0000 0.5000

**M_tot**: 8.59 μB/cell
**DFT total energy**: -5.6160 eV per atom


The following is a DFT calculation (PBE) of crystalline Pu3Mn4Ga2 at its relaxed geometry.

Cell lengths 5.4996, 7.7576, 7.7576 Å; angles 97.51, 81.76, 81.76 degrees
Atoms (fractional coordinates):
Ga 0.1494 0.4831 0.8060
Ga 0.6494 0.8060 0.4831
Ga 0.3506 0.1940 0.5169
Ga 0.8506 0.5169 0.1940
Mn 0.0951 0.7526 0.0593
Mn 0.8989 0.7471 0.7256
Mn 0.1011 0.2529 0.2744
Mn 0.5951 0.0593 0.7526
Mn 0.9049 0.2474 0.9407
Mn 0.4049 0.9407 0.2474
Mn 0.3989 0.7256 0.7471
Mn 0.6011 0.2744 0.2529
Pu 0.0942 0.9949 0.7664
Pu 0.7500 0.4002 0.5998
Pu 0.4058 0.2336 0.0051
Pu 0.9058 0.0051 0.2336
Pu 0.2500 0.5998 0.4002
Pu 0.5942 0.7664 0.9949

**M_tot**: 6.15 μB/cell
**DFT total energy**: -9.4324 eV per atom